No. 1
# PbAu2Se2

A relaxed structure of PbAu2Se2 (PBE, Alexandria via LeMat-Bulk).

Geometry as POSCAR:
```
PbAu2Se2
1.0
-2.1903 2.1903 6.1412
2.1903 -2.1903 6.1412
2.1903 2.1903 -6.1412
Pb Au Se
1 2 2
Direct
0.0000 0.0000 0.0000 Pb
0.3916 0.3916 0.0000 Au
0.6084 0.6084 0.0000 Au
0.2500 0.7500 0.5000 Se
0.7500 0.2500 0.5000 Se
```


No. 2
# PbAu2Se

A relaxed structure of PbAu2Se (PBE, Alexandria via LeMat-Bulk).

Geometry as POSCAR:
```
PbAu2Se
1.0
3.9044 0.0000 0.0000
0.0000 3.9044 0.0000
0.0000 0.0000 5.9053
Pb Au Se
1 2 1
Direct
0.0000 0.0000 0.0000 Pb
0.5000 0.5000 0.2539 Au
0.5000 0.5000 0.7461 Au
0.0000 0.0000 0.5000 Se
```


No. 3
# PbAu2Se2

A relaxed structure of PbAu2Se2 (PBE, Alexandria via LeMat-Bulk).

Geometry as POSCAR:
```
PbAu2Se2
1.0
8.1566 0.0000 0.0000
0.0000 8.1566 0.0000
0.0000 0.0000 3.4637
Pb Au Se
2 4 4
Direct
0.0000 0.0000 0.0000 Pb
0.5000 0.5000 0.0000 Pb
0.1219 0.3781 0.5000 Au
0.3781 0.8781 0.5000 Au
0.6219 0.1219 0.5000 Au
0.8781 0.6219 0.5000 Au
0.1903 0.6903 0.0000 Se
0.3097 0.1903 0.0000 Se
0.6903 0.8097 0.0000 Se
0.8097 0.3097 0.0000 Se
```


No. 4
# Pb2AuSe

A relaxed structure of Pb2AuSe (PBE, Alexandria via LeMat-Bulk).

Geometry as POSCAR:
```
Pb2AuSe
1.0
3.7447 0.0000 0.0000
0.0000 3.7375 0.0000
-0.0710 0.0000 7.3039
Pb Au Se
2 1 1
Direct
0.0015 0.0000 0.2454 Pb
0.9985 0.0000 0.7546 Pb
0.5000 0.5000 0.0000 Au
0.5000 0.5000 0.5000 Se
```


No. 5
# Pb2AuSe

A relaxed structure of Pb2AuSe (PBE, Alexandria via LeMat-Bulk).

Geometry as POSCAR:
```
Pb2AuSe
1.0
-2.1577 2.1577 5.7215
2.1577 -2.1577 5.7215
2.1577 2.1577 -5.7215
Pb Au Se
2 1 1
Direct
0.0000 0.0000 0.0000 Pb
0.7500 0.2500 0.5000 Pb
0.5000 0.5000 0.0000 Au
0.2500 0.7500 0.5000 Se
```


No. 6
# PbAuSe3

A relaxed structure of PbAuSe3 (PBE, Alexandria via LeMat-Bulk).

Geometry as POSCAR:
```
PbAuSe3
1.0
5.1286 0.0000 0.0000
0.0000 5.1286 0.0000
0.0000 0.0000 5.1286
Pb Au Se
1 1 3
Direct
0.0000 0.0000 0.0000 Pb
0.5000 0.5000 0.5000 Au
0.0000 0.5000 0.5000 Se
0.5000 0.0000 0.5000 Se
0.5000 0.5000 0.0000 Se
```


No. 7
# PbAu2Se

A relaxed structure of PbAu2Se (PBE, Alexandria via LeMat-Bulk).

Geometry as POSCAR:
```
PbAu2Se
1.0
3.9600 0.0000 0.0000
0.0000 3.9501 0.0000
-0.2761 0.0000 6.0268
Pb Au Se
1 2 1
Direct
0.0000 0.0000 0.0000 Pb
0.0145 0.5000 0.4155 Au
0.5188 0.0000 0.4167 Au
0.4871 0.5000 0.7895 Se
```


No. 8
# Pb2AuSe2

A relaxed structure of Pb2AuSe2 (PBE, Alexandria via LeMat-Bulk).

Geometry as POSCAR:
```
Pb2AuSe2
1.0
8.0754 0.0000 0.0000
0.0000 8.0754 0.0000
0.0000 0.0000 4.1238
Pb Au Se
4 2 4
Direct
0.1545 0.3455 0.0000 Pb
0.3455 0.8455 0.0000 Pb
0.6545 0.1545 0.0000 Pb
0.8455 0.6545 0.0000 Pb
0.0000 0.0000 0.5000 Au
0.5000 0.5000 0.5000 Au
0.1672 0.6672 0.5000 Se
0.3328 0.1672 0.5000 Se
0.6672 0.8328 0.5000 Se
0.8328 0.3328 0.5000 Se
```


No. 9
# Pb12Au5Se3

A relaxed structure of Pb12Au5Se3 (PBE, Alexandria via LeMat-Bulk).

Geometry as POSCAR:
```
Pb12Au5Se3
1.0
-8.6564 8.6564 8.6564
8.6564 -8.6564 8.6564
8.6564 8.6564 -8.6564
Pb Au Se
48 20 12
Direct
0.0540 0.2237 0.1299 Pb
0.0540 0.3303 0.9241 Pb
0.0759 0.6299 0.4063 Pb
0.0759 0.9460 0.6697 Pb
0.0937 0.7237 0.6697 Pb
0.0937 0.8701 0.4241 Pb
0.1299 0.0540 0.2237 Pb
0.1299 0.5759 0.9063 Pb
0.1697 0.2237 0.5937 Pb
0.1697 0.4460 0.5759 Pb
0.2237 0.1299 0.0540 Pb
0.2237 0.5937 0.1697 Pb
0.2763 0.3303 0.9063 Pb
0.2763 0.4460 0.3701 Pb
0.3303 0.9063 0.2763 Pb
0.3303 0.9241 0.0540 Pb
0.3701 0.2763 0.4460 Pb
0.3701 0.5937 0.9241 Pb
0.4063 0.0759 0.6299 Pb
0.4063 0.8303 0.7763 Pb
0.4241 0.0937 0.8701 Pb
0.4241 0.8303 0.5540 Pb
0.4460 0.3701 0.2763 Pb
0.4460 0.5759 0.1697 Pb
0.5540 0.4241 0.8303 Pb
0.5540 0.6299 0.7237 Pb
0.5759 0.1697 0.4460 Pb
0.5759 0.9063 0.1299 Pb
0.5937 0.1697 0.2237 Pb
0.5937 0.9241 0.3701 Pb
0.6299 0.4063 0.0759 Pb
0.6299 0.7237 0.5540 Pb
0.6697 0.0759 0.9460 Pb
0.6697 0.0937 0.7237 Pb
0.7237 0.5540 0.6299 Pb
0.7237 0.6697 0.0937 Pb
0.7763 0.4063 0.8303 Pb
0.7763 0.8701 0.9460 Pb
0.8303 0.5540 0.4241 Pb
0.8303 0.7763 0.4063 Pb
0.8701 0.4241 0.0937 Pb
0.8701 0.9460 0.7763 Pb
0.9063 0.1299 0.5759 Pb
0.9063 0.2763 0.3303 Pb
0.9241 0.0540 0.3303 Pb
0.9241 0.3701 0.5937 Pb
0.9460 0.6697 0.0759 Pb
0.9460 0.7763 0.8701 Pb
0.0000 0.0000 0.0000 Au
0.0000 0.0000 0.5000 Au
0.0000 0.5000 0.0000 Au
0.0000 0.5000 0.5000 Au
0.1250 0.7500 0.8750 Au
0.1250 0.8750 0.2500 Au
0.2500 0.1250 0.8750 Au
0.2500 0.6250 0.3750 Au
0.3750 0.2500 0.6250 Au
0.3750 0.6250 0.7500 Au
0.5000 0.0000 0.0000 Au
0.5000 0.0000 0.5000 Au
0.5000 0.5000 0.0000 Au
0.5000 0.5000 0.5000 Au
0.6250 0.3750 0.2500 Au
0.6250 0.7500 0.3750 Au
0.7500 0.3750 0.6250 Au
0.7500 0.8750 0.1250 Au
0.8750 0.1250 0.7500 Au
0.8750 0.2500 0.1250 Au
0.1250 0.2500 0.3750 Se
0.1250 0.3750 0.7500 Se
0.2500 0.3750 0.1250 Se
0.2500 0.8750 0.6250 Se
0.3750 0.1250 0.2500 Se
0.3750 0.7500 0.1250 Se
0.6250 0.2500 0.8750 Se
0.6250 0.8750 0.7500 Se
0.7500 0.1250 0.3750 Se
0.7500 0.6250 0.8750 Se
0.8750 0.6250 0.2500 Se
0.8750 0.7500 0.6250 Se
```


No. 10
# PbAu2Se2

A relaxed structure of PbAu2Se2 (PBE, Alexandria via LeMat-Bulk).

Geometry as POSCAR:
```
PbAu2Se2
1.0
-1.9913 1.9913 7.3737
1.9913 -1.9913 7.3737
1.9913 1.9913 -7.3737
Pb Au Se
1 2 2
Direct
0.0000 0.0000 0.0000 Pb
0.2500 0.7500 0.5000 Au
0.7500 0.2500 0.5000 Au
0.3897 0.3897 0.0000 Se
0.6103 0.6103 0.0000 Se
```


No. 11
# Pb2AuSe

A relaxed structure of Pb2AuSe (PBE, Alexandria via LeMat-Bulk).

Geometry as POSCAR:
```
Pb2AuSe
1.0
5.2338 0.0000 0.0000
0.0000 5.2338 0.0000
0.0000 0.0000 3.7639
Pb Au Se
2 1 1
Direct
0.0000 0.5000 0.0000 Pb
0.5000 0.0000 0.0000 Pb
0.0000 0.0000 0.5000 Au
0.5000 0.5000 0.5000 Se
```


No. 12
# Pb2AuSe

A relaxed structure of Pb2AuSe (PBE, Alexandria via LeMat-Bulk).

Geometry as POSCAR:
```
Pb2AuSe
1.0
2.0567 1.1874 7.7083
-2.0567 1.1874 7.7083
0.0000 -2.3748 7.7083
Pb Au Se
2 1 1
Direct
0.0000 0.0000 0.0000 Pb
0.1716 0.1716 0.1716 Pb
0.5858 0.5858 0.5858 Au
0.4181 0.4181 0.4181 Se
```


No. 13
# PbAu2Se

A relaxed structure of PbAu2Se (PBE, Alexandria via LeMat-Bulk).

Geometry as POSCAR:
```
PbAu2Se
1.0
5.9022 -2.1001 0.0000
5.9022 2.1001 0.0000
-1.4859 0.0000 3.9262
Pb Au Se
1 2 1
Direct
0.0000 0.0000 0.0000 Pb
0.2581 0.2581 0.2581 Au
0.7419 0.7419 0.7419 Au
0.5000 0.5000 0.5000 Se
```


No. 14
# PbAu2Se

A relaxed structure of PbAu2Se (PBE, Alexandria via LeMat-Bulk).

Geometry as POSCAR:
```
PbAu2Se
1.0
-3.9176 3.9176 3.0234
3.9176 -3.9176 3.0234
3.9176 3.9176 -3.0234
Pb Au Se
2 4 2
Direct
0.0000 0.0000 0.0000 Pb
0.7500 0.2500 0.5000 Pb
0.1515 0.6250 0.0265 Au
0.3750 0.4015 0.5265 Au
0.5985 0.1250 0.9735 Au
0.8750 0.8485 0.4735 Au
0.2500 0.7500 0.5000 Se
0.5000 0.5000 0.0000 Se
```


No. 15
# Pb2AuSe

A relaxed structure of Pb2AuSe (PBE, Alexandria via LeMat-Bulk).

Geometry as POSCAR:
```
Pb2AuSe
1.0
4.3018 0.0000 0.0000
0.0000 4.3018 0.0000
0.0000 0.0000 6.0214
Pb Au Se
2 1 1
Direct
0.0000 0.0000 0.0000 Pb
0.5000 0.5000 0.5000 Pb
0.0000 0.0000 0.5000 Au
0.5000 0.5000 0.0000 Se
```


No. 16
# Pb4AuSe

A relaxed structure of Pb4AuSe (PBE, Alexandria via LeMat-Bulk).

Geometry as POSCAR:
```
Pb4AuSe
1.0
0.0000 4.4973 4.4973
4.4973 0.0000 4.4973
4.4973 4.4973 0.0000
Pb Au Se
4 1 1
Direct
0.1253 0.1253 0.1253 Pb
0.1253 0.1253 0.6240 Pb
0.1253 0.6240 0.1253 Pb
0.6240 0.1253 0.1253 Pb
0.5000 0.5000 0.5000 Au
0.7500 0.7500 0.7500 Se
```


No. 17
# PbAu2Se

A relaxed structure of PbAu2Se (PBE, Alexandria via LeMat-Bulk).

Geometry as POSCAR:
```
PbAu2Se
1.0
3.8908 0.0000 0.0000
0.0000 4.5946 0.0000
0.0000 0.0000 5.5284
Pb Au Se
1 2 1
Direct
0.0000 0.0000 0.0000 Pb
0.5000 0.5000 0.2429 Au
0.5000 0.5000 0.7571 Au
0.5000 0.0000 0.5000 Se
```


No. 18
# PbAu2Se

A relaxed structure of PbAu2Se (PBE, Alexandria via LeMat-Bulk).

Geometry as POSCAR:
```
PbAu2Se
1.0
0.0000 3.5625 3.5625
3.5625 0.0000 3.5625
3.5625 3.5625 0.0000
Pb Au Se
1 2 1
Direct
0.0000 0.0000 0.0000 Pb
0.5000 0.5000 0.5000 Au
0.7500 0.7500 0.7500 Au
0.2500 0.2500 0.2500 Se
```


No. 19
# Pb2AuSe

A relaxed structure of Pb2AuSe (PBE, Alexandria via LeMat-Bulk).

Geometry as POSCAR:
```
Pb2AuSe
1.0
3.6169 -2.0707 0.0000
3.6169 2.0707 0.0000
-2.3508 0.0000 7.4945
Pb Au Se
2 1 1
Direct
0.2486 0.2486 0.2446 Pb
0.7514 0.7514 0.7554 Pb
0.5000 0.5000 0.0000 Au
0.0000 0.0000 0.5000 Se
```


No. 20
# PbAu4Se

A relaxed structure of PbAu4Se (PBE, Alexandria via LeMat-Bulk).

Geometry as POSCAR:
```
PbAu4Se
1.0
0.0000 3.9983 3.9983
3.9983 0.0000 3.9983
3.9983 3.9983 0.0000
Pb Au Se
1 4 1
Direct
0.0000 0.0000 0.0000 Pb
0.3749 0.3749 0.3749 Au
0.3749 0.3749 0.8753 Au
0.3749 0.8753 0.3749 Au
0.8753 0.3749 0.3749 Au
0.7500 0.7500 0.7500 Se
```


| no. | DFT total energy (eV for the cell shown) |
| --- | --- |
| 1 | -16.7 |
| 2 | -13.5 |
| 3 | -33.3 |
| 4 | -14.8 |
| 5 | -14.5 |
| 6 | -16.6 |
| 7 | -13.9 |
| 8 | -36.5 |
| 9 | -282.2 |
| 10 | -17.4 |
| 11 | -14.8 |
| 12 | -15.0 |
| 13 | -14.0 |
| 14 | -27.2 |
| 15 | -15.3 |
| 16 | -19.4 |
| 17 | -13.9 |
| 18 | -13.2 |
| 19 | -15.2 |
| 20 | -20.3 |